Entry 1:
DyFe5: relaxed, PBE.

Cell and atoms, written as POSCAR:
```
DyFe5
1.0
-2.819 1.154 3.956
2.988 -3.997 0.145
2.916 2.232 1.427
Fe Dy
5 1
Cartesian
0.049 1.693 2.691
1.052 -2.280 1.415
-0.883 -0.563 2.685
1.543 -0.305 2.764
2.952 -0.882 0.786
0.000 0.000 0.000
```

**M_tot**: 9.66 μB per cell
**Electronic total energy**: -7.866 eV/atom
**Formation energy**: -0.046 eV per atom

=====

Entry 2:
Dy2Fe17: relaxed, PBE.

Cell and atoms, written as POSCAR:
```
Dy2Fe17
1.0
8.466 0.000 0.000
-4.233 7.332 0.000
0.000 0.000 8.231
Fe Dy
34 4
Cartesian
0.000 2.432 8.103
2.117 3.666 4.116
0.000 4.888 3.240
2.106 1.216 3.988
3.007 4.630 6.173
1.226 2.702 2.058
2.106 1.216 0.128
2.117 3.666 0.000
2.506 4.919 2.058
4.233 0.000 4.116
4.233 2.444 4.991
-2.117 3.666 0.000
6.360 1.216 3.988
-1.226 2.702 2.058
5.513 0.289 6.173
-2.127 6.116 4.244
4.233 4.900 0.128
6.739 2.413 6.173
0.000 2.432 4.244
-2.506 4.919 2.058
-2.127 6.116 8.103
4.233 0.000 0.000
2.127 6.116 4.244
1.727 2.413 6.173
4.233 2.444 7.356
5.459 4.630 6.173
2.953 0.289 6.173
-1.280 7.043 2.058
2.127 6.116 8.103
0.000 4.888 0.876
-2.117 3.666 4.116
6.360 1.216 0.128
4.233 4.900 3.988
1.280 7.043 2.058
0.000 0.000 2.058
0.000 4.888 6.173
4.233 2.444 2.058
0.000 0.000 6.173
```

**M_tot**: 77.70 μB per cell
**Electronic total energy**: -8.070 eV/atom
**Formation energy**: -0.013 eV per atom

=====

Entry 3:
DyFe6: relaxed, PBE.

Cell and atoms, written as POSCAR:
```
DyFe6
1.0
-0.684 5.122 -0.578
-2.402 -1.592 4.328
5.082 -1.040 0.356
Fe Dy
6 1
Cartesian
-0.444 2.785 1.819
2.869 1.383 1.060
-0.873 1.107 3.046
0.568 -0.434 3.279
2.439 -0.296 2.286
1.427 2.923 0.826
0.000 0.000 0.000
```

**M_tot**: 0.00 μB per cell
**Energy relative to the lowest polymorph listed for this composition**: 12.58 kcal/mol of atoms
**Electronic total energy**: -7.334 eV/atom
**Formation energy**: 0.577 eV per atom

=====

Entry 4:
Dy6Fe23: relaxed, PBE.

Cell and atoms, written as POSCAR:
```
Dy6Fe23
1.0
0.000 6.000 6.000
6.000 0.000 6.000
6.000 6.000 0.000
Fe Dy
23 6
Cartesian
3.891 2.108 2.108
10.539 7.460 7.460
3.000 6.000 3.000
4.539 4.539 1.460
3.000 3.000 6.000
1.460 1.460 1.460
3.891 3.891 3.891
1.460 4.539 4.539
2.108 2.108 3.891
6.000 3.000 3.000
8.108 9.891 9.891
4.539 1.460 4.539
8.108 8.108 8.108
0.000 0.000 0.000
2.108 3.891 2.108
3.000 3.000 0.000
7.460 7.460 10.539
9.891 8.108 9.891
7.460 10.539 7.460
10.539 10.539 10.539
3.000 0.000 3.000
0.000 3.000 3.000
9.891 9.891 8.108
6.000 8.513 6.000
6.000 6.000 8.513
3.487 6.000 6.000
6.000 6.000 3.487
6.000 3.487 6.000
8.513 6.000 6.000
```

**M_tot**: 50.65 μB per cell
**Electronic total energy**: -7.712 eV/atom
**Formation energy**: -0.049 eV per atom

=====

Entry 5:
DyFe6: relaxed, PBE.

Cell and atoms, written as POSCAR:
```
DyFe6
1.0
4.818 0.000 0.000
0.000 7.927 0.000
0.000 0.000 10.055
Fe Dy
24 4
Cartesian
4.787 4.472 8.121
1.204 4.356 5.976
2.440 0.509 6.962
2.378 3.455 1.935
3.613 5.475 2.530
1.204 7.185 5.184
3.613 6.772 8.643
1.204 6.415 7.558
2.378 7.418 3.093
3.613 2.808 6.441
3.613 1.512 2.497
1.204 3.221 9.899
1.204 0.392 9.108
2.440 4.472 8.121
3.613 7.535 0.948
0.031 7.418 3.093
1.204 5.119 3.615
1.204 2.452 7.525
3.613 0.742 4.872
3.613 4.706 0.156
4.787 0.509 6.962
3.613 3.571 4.080
0.031 3.455 1.935
1.204 1.155 1.413
1.204 2.040 4.385
1.204 6.004 0.642
3.613 5.887 5.670
3.613 1.923 9.413
```

**M_tot**: 49.48 μB per cell
**Energy relative to the lowest polymorph listed for this composition**: 0.00 kcal/mol of atoms
**Electronic total energy**: -7.880 eV/atom
**Formation energy**: 0.032 eV per atom

=====

Entry 6:
DyFe3: relaxed, PBE.

Cell and atoms, written as POSCAR:
```
DyFe3
1.0
5.085 -0.001 0.001
2.542 4.404 -0.003
2.537 1.472 8.081
Fe Dy
9 3
Cartesian
2.542 1.468 0.012
3.814 2.203 1.971
7.622 4.408 8.067
5.084 4.403 1.969
6.353 2.203 1.971
3.811 3.672 6.107
6.350 3.672 6.108
5.082 2.938 4.039
5.080 1.473 6.110
2.539 1.470 4.641
0.000 0.000 0.000
7.625 4.405 3.438
```

**M_tot**: 17.28 μB per cell
**Electronic total energy**: -7.570 eV/atom
**Formation energy**: -0.072 eV per atom

=====

Entry 7:
DyFe4: relaxed, PBE.

Cell and atoms, written as POSCAR:
```
DyFe4
1.0
4.596 0.000 0.000
0.000 4.596 0.000
0.000 0.000 4.596
Fe Dy
4 1
Cartesian
2.298 0.000 2.298
0.000 2.298 2.298
0.000 0.000 0.000
2.298 2.298 0.000
2.298 2.298 2.298
```

**M_tot**: 9.54 μB per cell
**Electronic total energy**: -5.724 eV/atom
**Formation energy**: 1.966 eV per atom

=====

Entry 8:
DyFe3: relaxed, PBE.

Cell and atoms, written as POSCAR:
```
DyFe3
1.0
5.089 0.000 0.000
-2.545 4.408 0.000
0.000 0.000 16.160
Fe Dy
18 6
Cartesian
3.816 0.735 2.067
0.000 1.470 10.147
1.271 3.672 14.093
0.000 0.000 8.080
-1.271 3.672 10.147
1.271 3.672 10.147
3.816 0.735 6.013
1.273 0.735 2.067
-1.271 3.672 14.093
0.000 0.000 0.000
0.000 0.000 4.040
1.273 0.735 6.013
2.545 1.469 4.040
0.000 1.470 14.093
2.545 2.937 6.013
0.000 0.000 12.120
2.545 2.937 2.067
0.000 2.938 12.120
0.000 2.938 4.040
0.000 2.938 7.478
2.545 1.469 12.120
0.000 2.938 0.602
2.545 1.469 8.682
2.545 1.469 15.558
```

**M_tot**: 34.12 μB per cell
**Electronic total energy**: -7.569 eV/atom
**Formation energy**: -0.072 eV per atom

=====

Entry 9:
DyGa6Fe6: relaxed, PBE.

Cell and atoms, written as POSCAR:
```
DyGa6Fe6
1.0
0.000 6.022 6.111
2.594 0.000 6.111
2.594 6.022 0.000
Dy Fe Ga
1 6 6
Cartesian
0.000 0.000 0.000
1.297 6.022 3.055
2.594 7.242 7.425
2.594 4.801 4.797
2.594 7.242 4.797
1.297 0.000 3.055
2.594 4.801 7.425
2.594 4.009 2.248
1.297 3.011 0.000
1.297 3.011 6.111
2.594 8.034 2.248
2.594 8.034 9.974
2.594 4.009 9.974
```

**M_tot**: 13.33 μB per cell
**Energy relative to the lowest polymorph listed for this composition**: 3.33 kcal/mol of atoms
**Electronic total energy**: -5.827 eV/atom
**Formation energy**: -0.170 eV per atom

=====

Entry 10:
Dy4GaFe: relaxed, PBE.

Cell and atoms, written as POSCAR:
```
Dy4GaFe
1.0
-4.959 -3.242 0.765
5.988 -4.524 2.915
-1.360 6.570 4.066
Ga Dy Fe
2 8 2
Cartesian
-1.868 1.187 4.582
1.537 -2.384 3.164
-3.256 -0.041 2.069
0.190 0.285 2.414
-0.102 4.573 4.174
2.925 -1.156 5.676
1.119 1.694 5.658
-0.520 -1.482 5.331
-1.450 -2.891 2.088
-0.229 -5.770 3.572
0.909 -0.387 7.554
-1.240 -0.810 0.192
```

**M_tot**: 0.00 μB per cell
**Electronic total energy**: -5.176 eV/atom
**Formation energy**: -0.193 eV per atom

=====

Entry 11:
Dy3Ga9Fe2: relaxed, PBE.

Cell and atoms, written as POSCAR:
```
Dy3Ga9Fe2
1.0
-2.262 -3.459 -0.810
5.194 -6.126 0.707
-1.159 -3.486 7.177
Ga Fe Dy
9 2 3
Cartesian
2.018 -4.806 3.942
2.568 -4.574 1.412
0.701 -3.030 0.034
-0.175 -3.434 4.205
2.815 -10.765 5.266
1.948 -9.637 2.869
1.073 -10.041 7.040
-0.795 -8.497 5.662
-1.041 -2.306 1.808
2.042 -7.015 2.361
-0.269 -6.055 4.714
0.000 0.000 0.000
-0.342 -5.334 1.840
2.116 -7.736 5.234
```

**M_tot**: 2.84 μB per cell
**Electronic total energy**: -4.605 eV/atom
**Formation energy**: -0.464 eV per atom

=====

Entry 12:
DyGa3Fe: relaxed, PBE.

Cell and atoms, written as POSCAR:
```
DyGa3Fe
1.0
-4.951 -0.497 2.192
2.356 -3.364 4.559
-0.364 6.099 0.560
Ga Dy Fe
6 2 2
Cartesian
-0.928 1.556 1.628
-1.085 4.175 1.868
-2.887 -0.492 3.485
-1.875 -1.936 5.442
-2.032 0.682 5.682
-0.073 2.731 3.826
0.211 -0.334 3.774
-3.171 2.572 3.537
-2.476 -0.248 1.096
0.000 0.000 0.000
```

**M_tot**: 4.14 μB per cell
**Energy relative to the lowest polymorph listed for this composition**: 0.00 kcal/mol of atoms
**Electronic total energy**: -4.820 eV/atom
**Formation energy**: -0.391 eV per atom

=====

Entry 13:
Dy5GaFe2: relaxed, PBE.

Cell and atoms, written as POSCAR:
```
Dy5GaFe2
1.0
6.641 0.000 -3.135
-1.480 6.474 -3.135
0.046 0.058 8.699
Fe Dy Ga
4 10 2
Cartesian
5.042 3.922 -4.702
0.119 2.552 -1.567
3.866 0.685 -2.231
1.295 5.789 -4.039
2.581 3.237 -3.135
0.891 5.283 -1.143
2.612 2.046 -0.038
-0.507 3.530 4.498
0.000 0.000 0.000
2.595 4.486 2.468
5.714 3.002 -2.069
1.214 0.293 5.602
4.316 1.249 3.572
3.993 6.239 -3.173
3.894 4.884 -0.353
1.313 1.647 2.782
```

**M_tot**: 0.19 μB per cell
**Electronic total energy**: -5.534 eV/atom
**Formation energy**: -0.164 eV per atom

=====

Entry 14:
Dy12GaFe6: relaxed, PBE.

Cell and atoms, written as POSCAR:
```
Dy12GaFe6
1.0
-5.622 -3.198 5.280
5.837 -5.735 -1.660
3.584 6.695 3.470
Dy Fe Ga
12 6 1
Cartesian
1.820 3.864 4.191
1.891 -2.458 1.423
1.908 0.220 5.667
4.360 -1.540 3.797
2.394 0.963 2.234
1.979 -6.102 2.899
1.405 -3.201 4.856
-2.437 -3.592 4.118
6.236 1.354 2.972
5.192 -2.966 0.228
-1.393 0.728 6.862
-0.562 -0.698 3.293
-0.117 -4.081 2.776
-0.935 -1.732 5.785
4.734 -0.506 1.305
0.021 1.854 4.575
3.916 1.842 4.314
3.778 -4.092 2.515
0.000 0.000 0.000
```

**M_tot**: 6.64 μB per cell
**Electronic total energy**: -5.811 eV/atom
**Formation energy**: -0.073 eV per atom

=====

Entry 15:
DyGa3Fe3: relaxed, PBE.

Cell and atoms, written as POSCAR:
```
DyGa3Fe3
1.0
-3.433 -2.026 -5.125
0.775 -6.156 1.914
-5.456 0.400 3.497
Fe Ga Dy
6 6 2
Cartesian
-1.135 -5.630 -1.127
-3.586 -0.307 0.467
-5.303 -1.320 -2.096
-0.976 -2.978 1.831
-1.523 -2.552 -2.084
-3.705 -2.778 3.580
-3.081 -0.913 -1.688
-0.471 -3.584 -0.324
-2.147 -4.417 3.184
-2.534 -1.339 2.227
-2.187 -4.598 -2.887
-5.809 -0.713 0.060
0.000 0.000 0.000
-4.057 -3.891 0.143
```

**M_tot**: 10.05 μB per cell
**Energy relative to the lowest polymorph listed for this composition**: 13.17 kcal/mol of atoms
**Electronic total energy**: -5.140 eV/atom
**Formation energy**: 0.442 eV per atom

=====

Entry 16:
Dy4Ga16Fe3: relaxed, PBE.

Cell and atoms, written as POSCAR:
```
Dy4Ga16Fe3
1.0
-0.706 -4.249 -4.207
5.971 -0.732 -0.263
-0.606 -7.810 7.991
Ga Dy Fe
16 4 3
Cartesian
3.785 -3.581 -3.213
4.080 -4.615 1.839
-0.131 -1.688 1.727
0.718 -6.387 -0.147
1.171 -3.261 -3.098
0.579 -8.176 1.683
1.073 -4.247 1.971
0.934 -6.036 3.801
3.725 -6.756 -0.280
3.941 -6.404 3.669
4.094 -1.721 -1.371
2.147 -8.747 4.167
-0.475 -6.122 6.264
1.480 -1.400 -1.256
3.586 -8.544 1.550
2.512 -4.044 -0.645
2.868 -1.882 1.420
-0.471 -3.641 -0.552
2.497 -6.660 6.308
-0.841 -8.418 4.336
-0.656 -6.030 1.892
0.000 0.000 0.000
2.682 -4.271 3.864
```

**M_tot**: 1.31 μB per cell
**Electronic total energy**: -4.458 eV/atom
**Formation energy**: -0.448 eV per atom

=====

Entry 17:
Dy2GaFe: relaxed, PBE.

Cell and atoms, written as POSCAR:
```
Dy2GaFe
1.0
4.938 0.000 0.000
2.469 4.276 0.000
2.469 1.425 4.031
Fe Dy Ga
1 2 1
Cartesian
0.000 0.000 0.000
2.469 1.425 1.008
7.406 4.276 3.024
4.938 2.851 2.016
```

**M_tot**: 1.44 μB per cell
**Energy relative to the lowest polymorph listed for this composition**: 0.98 kcal/mol of atoms
**Electronic total energy**: -5.355 eV/atom
**Formation energy**: -0.182 eV per atom

=====

Entry 18:
Dy2GaFe: relaxed, PBE.

Cell and atoms, written as POSCAR:
```
Dy2GaFe
1.0
-1.606 -2.933 0.995
3.093 -1.455 0.702
-0.351 2.416 6.555
Dy Ga Fe
2 1 1
Cartesian
-0.082 0.564 1.530
-0.269 1.852 5.026
0.568 -0.986 4.126
0.743 -2.194 0.848
```

**M_tot**: 1.25 μB per cell
**Energy relative to the lowest polymorph listed for this composition**: 0.00 kcal/mol of atoms
**Electronic total energy**: -5.398 eV/atom
**Formation energy**: -0.225 eV per atom